Entry 1:
Computed, not measured: crystalline RbSr3Sn at its relaxed geometry at the PBE level of DFT.

Cell: 6.578 6.578 6.578 Å, 90.00 90.00 90.00°
Space group Pm-3m (No. 221)
One atom of each set of equivalent atoms:
Rb (0.000, 0.000, 0.000) [1 per cell]
Sr (0.000, 0.500, 0.500) [3 per cell]
Sn (0.500, 0.500, 0.500) [1 per cell]

Results
Calculated volume = 284.6 Å³ per cell
Energy above the lowest structure with this stoichiometry = 0.000 eV/atom
Calculated formation energy = -0.18 eV per atom

***

Entry 2:
Computed, not measured: crystalline BaSc2Br at its relaxed geometry at the PBE level of DFT.

Cell: 7.790 7.790 7.790 Å, 90.00 90.00 90.00°
Space group Fm-3m (No. 225)
One atom of each set of equivalent atoms:
Ba (0.000, 0.000, 0.000) [4 per cell]
Sc (0.250, 0.250, 0.250) [8 per cell]
Br (0.000, 0.000, 0.500) [4 per cell]

Results
Calculated volume = 472.7 Å³ per cell
Energy above the lowest structure with this stoichiometry = 0.783 eV/atom
Formation energy (no corrections) = 0.39 eV per atom

***

Entry 3:
Computed, not measured: crystalline SrYZr2 at its relaxed geometry at the PBE level of DFT.

Cell: 4.828 4.841 10.398 Å, 90.00 90.00 90.00°
Space group Cmm2 (No. 35)
One atom of each set of equivalent atoms:
Sr (0.000, 0.000, 0.000) [2 per cell]
Y (0.000, 0.500, 0.308) [2 per cell]
Zr (0.000, 0.000, 0.529) [2 per cell]
Zr (0.000, 0.500, 0.719) [2 per cell]

Results
Calculated volume = 243.0 Å³ per cell
Energy above the lowest structure with this stoichiometry = 0.018 eV/atom
Calculated formation energy = 0.25 eV per atom

***

- What is the formula in the first record?
  RbSr3Sn

***

What did the third record say?
Computed, not measured: crystalline SrYZr2 at its relaxed geometry at the PBE level of DFT.

Cell: 4.828 4.841 10.398 Å, 90.00 90.00 90.00°
Space group Cmm2 (No. 35)
One atom of each set of equivalent atoms:
Sr (0.000, 0.000, 0.000) [2 per cell]
Y (0.000, 0.500, 0.308) [2 per cell]
Zr (0.000, 0.000, 0.529) [2 per cell]
Zr (0.000, 0.500, 0.719) [2 per cell]

Results
Calculated volume = 243.0 Å³ per cell
Energy above the lowest structure with this stoichiometry = 0.018 eV/atom
Calculated formation energy = 0.25 eV per atom